1.
Computed, not measured: a geometry-optimized CoHAu3 structure at the PBE level of DFT.

a b c (Å): 4.8306 4.8306 4.8306
angles (deg): 90.00 90.00 90.00
Closest atoms and distances in Å follow each position.
Element x y z (fractional)
1 Co 0.0000 0.0000 0.0000  6 Au 2.42
2 H 0.5000 0.5000 0.5000  12 Au 3.42
3 Au 0.0000 0.0000 0.5000  2 Co 2.42
4 Au 0.0000 0.5000 0.0000  2 Co 2.42
5 Au 0.5000 0.0000 0.0000  2 Co 2.42



2.
Computed, not measured: a geometry-optimized CoHAu3 structure at the PBE level of DFT.

a b c (Å): 4.1338 4.1338 4.1338
angles (deg): 90.00 90.00 90.00
Closest atoms and distances in Å follow each position.
Element x y z (fractional)
1 Co 0.0000 0.0000 0.0000  12 Au 2.92
2 H 0.5000 0.5000 0.5000  6 Au 2.07
3 Au 0.0000 0.5000 0.5000  2 H 2.07
4 Au 0.5000 0.0000 0.5000  2 H 2.07
5 Au 0.5000 0.5000 0.0000  2 H 2.07



The most stable arrangement is 2, and the next structure is 797 meV per atom less stable.



1.
Computed, not measured: a geometry-optimized Co2HAu2 structure at the PBE level of DFT.

a b c (Å): 5.2463 5.2463 4.6707
angles (deg): 90.00 90.00 90.00
Closest atoms and distances in Å follow each position.
Element x y z (fractional)
1 Co 0.1647 0.3353 0.0000  2 H 1.96
2 Co 0.3353 0.8353 0.0000  2 H 1.96
3 Co 0.6647 0.1647 0.0000  2 H 1.96
4 Co 0.8353 0.6647 0.0000  2 H 1.96
5 H 0.0000 0.0000 0.0000  4 Co 1.96
6 H 0.5000 0.5000 0.0000  4 Co 1.96
7 Au 0.1799 0.6799 0.5000  2 Co 2.60, 5 Au 2.67-2.72
8 Au 0.3201 0.1799 0.5000  2 Co 2.60, 5 Au 2.67-2.72
9 Au 0.6799 0.8201 0.5000  2 Co 2.60, 5 Au 2.67-2.72
10 Au 0.8201 0.3201 0.5000  2 Co 2.60, 5 Au 2.67-2.72



2.
Computed, not measured: a geometry-optimized Co2HAu2 structure at the PBE level of DFT.

a b c (Å): 5.4952 5.4952 4.4637
angles (deg): 90.00 90.00 90.00
Closest atoms and distances in Å follow each position.
Element x y z (fractional)
1 Co 0.1443 0.3557 0.0000  1 Co 2.24
2 Co 0.3557 0.8557 0.0000  1 Co 2.24
3 Co 0.6443 0.1443 0.0000  1 Co 2.24
4 Co 0.8557 0.6443 0.0000  1 Co 2.24
5 H 0.0000 0.0000 0.5000  4 Au 2.03
6 H 0.5000 0.5000 0.5000  4 Au 2.03
7 Au 0.1763 0.6763 0.5000  2 H 2.03
8 Au 0.3237 0.1763 0.5000  2 H 2.03
9 Au 0.6763 0.8237 0.5000  2 H 2.03
10 Au 0.8237 0.3237 0.5000  2 H 2.03



The most stable arrangement is 1, and the next structure is 153 meV per atom less stable.



1.
Computed, not measured: a geometry-optimized CoHAu structure at the PBE level of DFT.

a b c (Å): 2.8800 2.8800 9.1548
angles (deg): 99.52 99.52 59.42
Closest atoms and distances in Å follow each position.
Element x y z (fractional)
1 Co 0.1270 0.1270 0.3863  4 H 1.69-1.72
2 Co 0.8730 0.8730 0.6137  4 H 1.69-1.72
3 H 0.1918 0.1918 0.5776  4 Co 1.69-1.72
4 H 0.8082 0.8082 0.4224  4 Co 1.69-1.72
5 Au 0.2880 0.2880 0.8611  1 H 2.55, 3 Co 2.77-2.78
6 Au 0.7120 0.7120 0.1389  1 H 2.55, 3 Co 2.77-2.78



2.
Computed, not measured: a geometry-optimized CoHAu structure at the PBE level of DFT.

a b c (Å): 2.8624 2.8624 4.5204
angles (deg): 90.00 90.00 120.00
Closest atoms and distances in Å follow each position.
Element x y z (fractional)
1 Co 0.0000 0.0000 0.0000  3 H 1.65
2 H 0.6667 0.3333 0.0102  3 Co 1.65
3 Au 0.3333 0.6667 0.5019  6 H 2.77-2.83, 6 Co 2.79-2.81, 6 Au 2.86



The most stable arrangement is 1, and the next structure is 70 meV per atom less stable.



1.
Computed, not measured: a geometry-optimized CoHAu2 structure at the PBE level of DFT.

a b c (Å): 5.1730 5.1730 5.1730
angles (deg): 105.70 105.70 117.30
Closest atoms and distances in Å follow each position.
Element x y z (fractional)
1 Co 0.0000 0.0000 0.0000  2 H 2.69, 8 Au 2.71-2.75
2 Co 0.7500 0.2500 0.5000  2 H 2.69, 8 Au 2.71-2.75
3 H 0.2500 0.7500 0.5000  4 Au 1.98
4 H 0.5000 0.5000 0.0000  4 Au 1.98
5 Au 0.2118 0.6250 0.0868  2 H 1.98
6 Au 0.3750 0.4618 0.5868  2 H 1.98
7 Au 0.5382 0.1250 0.9132  2 H 1.98
8 Au 0.8750 0.7882 0.4132  2 H 1.98



2.
Computed, not measured: a geometry-optimized CoHAu2 structure at the PBE level of DFT.

a b c (Å): 4.2636 4.2636 4.2636
angles (deg): 60.00 60.00 60.00
Closest atoms and distances in Å follow each position.
Element x y z (fractional)
1 Co 0.0000 0.0000 0.0000  8 Au 2.61
2 H 0.5000 0.5000 0.5000  8 Au 2.61
3 Au 0.2500 0.2500 0.2500  4 H 2.61, 4 Co 2.61
4 Au 0.7500 0.7500 0.7500  4 H 2.61, 4 Co 2.61



The most stable arrangement is 1, and the next structure is 272 meV per atom less stable.



1.
Computed, not measured: a geometry-optimized HfCo2HAu structure at the PBE level of DFT.

a b c (Å): 3.8995 3.8995 3.9512
angles (deg): 90.00 90.00 90.00
Closest atoms and distances in Å follow each position.
Element x y z (fractional)
1 Hf 0.0000 0.0000 0.0000  2 H 1.98
2 Co 0.0000 0.5000 0.5000  2 H 1.95
3 Co 0.5000 0.0000 0.5000  2 H 1.95
4 H 0.0000 0.0000 0.5000  4 Co 1.95, 2 Hf 1.98
5 Au 0.5000 0.5000 0.0000  4 Hf 2.76, 8 Co 2.78



2.
Computed, not measured: a geometry-optimized HfCo2HAu structure at the PBE level of DFT.

a b c (Å): 3.9866 3.9866 3.7791
angles (deg): 90.00 90.00 90.00
Closest atoms and distances in Å follow each position.
Element x y z (fractional)
1 Hf 0.0000 0.0000 0.0000  8 Co 2.75, 4 Au 2.82
2 Co 0.0000 0.5000 0.5000  2 H 1.99
3 Co 0.5000 0.0000 0.5000  2 H 1.99
4 H 0.5000 0.5000 0.5000  2 Au 1.89, 4 Co 1.99
5 Au 0.5000 0.5000 0.0000  2 H 1.89



The most stable arrangement is 1, and the next structure is 82 meV per atom less stable.



1.
Computed, not measured: a geometry-optimized Co2HPtAu structure at the PBE level of DFT.

a b c (Å): 3.9059 3.9059 3.8338
angles (deg): 90.00 90.00 90.00
Closest atoms and distances in Å follow each position.
Element x y z (fractional)
1 Co 0.0000 0.5000 0.0000  2 H 1.95
2 Co 0.5000 0.0000 0.0000  2 H 1.95
3 H 0.0000 0.0000 0.0000  2 Pt 1.92, 4 Co 1.95
4 Pt 0.0000 0.0000 0.5000  2 H 1.92
5 Au 0.5000 0.5000 0.5000  8 Co 2.74, 4 Pt 2.76



2.
Computed, not measured: a geometry-optimized Co2HPtAu structure at the PBE level of DFT.

a b c (Å): 3.8635 3.8635 3.9152
angles (deg): 90.00 90.00 90.00
Closest atoms and distances in Å follow each position.
Element x y z (fractional)
1 Co 0.0000 0.5000 0.0000  2 H 1.93
2 Co 0.5000 0.0000 0.0000  2 H 1.93
3 H 0.0000 0.0000 0.0000  4 Co 1.93, 2 Au 1.96
4 Pt 0.5000 0.5000 0.5000  4 Au 2.73, 8 Co 2.75
5 Au 0.0000 0.0000 0.5000  2 H 1.96



The most stable arrangement is 1, and the next structure is 102 meV per atom less stable.



1.
Computed, not measured: a geometry-optimized Co2HRhAu structure at the PBE level of DFT.

a b c (Å): 3.8416 3.8416 3.8813
angles (deg): 90.00 90.00 90.00
Closest atoms and distances in Å follow each position.
Element x y z (fractional)
1 Co 0.0000 0.5000 0.0000  2 H 1.92
2 Co 0.5000 0.0000 0.0000  2 H 1.92
3 H 0.0000 0.0000 0.0000  4 Co 1.92, 2 Au 1.94
4 Rh 0.5000 0.5000 0.5000  4 Au 2.72, 8 Co 2.73
5 Au 0.0000 0.0000 0.5000  2 H 1.94



2.
Computed, not measured: a geometry-optimized Co2HRhAu structure at the PBE level of DFT.

a b c (Å): 3.8718 3.8718 3.7959
angles (deg): 90.00 90.00 90.00
Closest atoms and distances in Å follow each position.
Element x y z (fractional)
1 Co 0.0000 0.5000 0.0000  2 H 1.94
2 Co 0.5000 0.0000 0.0000  2 H 1.94
3 H 0.0000 0.0000 0.0000  2 Rh 1.90, 4 Co 1.94
4 Rh 0.0000 0.0000 0.5000  2 H 1.90
5 Au 0.5000 0.5000 0.5000  8 Co 2.71, 4 Rh 2.74



The most stable arrangement is 2, and the next structure is 167 meV per atom less stable.



1.
Computed, not measured: a geometry-optimized Co2TcHAu structure at the PBE level of DFT.

a b c (Å): 4.7232 4.7232 5.1210
angles (deg): 90.00 90.00 90.00
Closest atoms and distances in Å follow each position.
Element x y z (fractional)
1 Co 0.0000 0.5000 0.0000  2 Au 2.36
2 Co 0.5000 0.0000 0.0000  2 Au 2.36
3 Tc 0.0000 0.0000 0.5000  2 Au 2.56
4 H 0.5000 0.5000 0.5000  4 Tc 3.34, 8 Co 3.48
5 Au 0.0000 0.0000 0.0000  4 Co 2.36, 2 Tc 2.56



2.
Computed, not measured: a geometry-optimized Co2TcHAu structure at the PBE level of DFT.

a b c (Å): 3.9003 3.9003 3.7681
angles (deg): 90.00 90.00 90.00
Closest atoms and distances in Å follow each position.
Element x y z (fractional)
1 Co 0.0000 0.5000 0.0000  2 H 1.95
2 Co 0.5000 0.0000 0.0000  2 H 1.95
3 Tc 0.0000 0.0000 0.5000  2 H 1.88
4 H 0.0000 0.0000 0.0000  2 Tc 1.88, 4 Co 1.95
5 Au 0.5000 0.5000 0.5000  8 Co 2.71, 4 Tc 2.76



The most stable arrangement is 2, and the next structure is 1978 meV per atom less stable.